Record 1
{"formula": "TlSnAu", "functional": "GGA-PBE", "state": "optimized geometry", "formation_energy_ev_per_atom": -0.0645, "energy_ev_per_atom": -3.280, "lattice": [[-4.386, 1.511, -0.965], [-0.211, -3.241, -4.109], [-2.492, -4.063, 4.993]], "species": ["Au", "Au", "Sn", "Sn", "Tl", "Tl"], "fractional_positions": [[0.313, 0.290, 0.725], [0.814, 0.942, 0.114], [0.813, 0.397, 0.949], [0.314, 0.836, 0.890], [0.813, 0.882, 0.529], [0.314, 0.352, 0.310]]}

Record 2
{"formula": "BiPPb2", "functional": "GGA-PBE", "state": "optimized geometry", "formation_energy_ev_per_atom": 0.1364, "energy_ev_per_atom": -4.041, "relative_energy_ev_per_atom": 0.0143, "lattice": [[-0.474, 0.341, -6.079], [7.219, -2.968, -0.730], [-4.219, -10.202, -0.243]], "species": ["Bi", "Bi", "Bi", "Bi", "Pb", "Pb", "Pb", "Pb", "Pb", "Pb", "Pb", "Pb", "P", "P", "P", "P"], "fractional_positions": [[0.727, 0.750, 0.848], [0.773, 0.250, 0.348], [0.227, 0.750, 0.652], [0.273, 0.250, 0.152], [0.781, 0.011, 0.610], [0.781, 0.489, 0.610], [0.219, 0.511, 0.390], [0.719, 0.989, 0.110], [0.281, 0.011, 0.890], [0.281, 0.489, 0.890], [0.719, 0.511, 0.110], [0.219, 0.989, 0.390], [0.564, 0.750, 0.491], [0.064, 0.750, 0.009], [0.936, 0.250, 0.991], [0.436, 0.250, 0.509]]}

Record 3
{"formula": "Sm2DyOsO8", "functional": "GGA-PBE", "state": "optimized geometry", "energy_ev_per_atom": -7.885, "raw_formation_energy_mev_per_atom": -2474, "lattice": [[5.125, -0.037, -0.003], [-0.007, 5.124, -0.006], [0.004, 0.008, 6.868]], "species": ["O", "O", "O", "O", "O", "O", "O", "O", "Sm", "Sm", "Dy", "Os"], "fractional_positions": [[0.179, 0.821, 0.209], [0.305, 0.304, 0.500], [0.821, 0.179, 0.209], [0.179, 0.821, 0.791], [0.695, 0.696, 0.500], [0.741, 0.742, 0.000], [0.821, 0.179, 0.791], [0.259, 0.258, 0.000], [0.500, 0.500, 0.748], [0.500, 0.500, 0.252], [0.000, 0.000, 0.500], [0.000, 0.000, 0.000]]}

What did the third record say?
{"formula": "Sm2DyOsO8", "functional": "GGA-PBE", "state": "optimized geometry", "energy_ev_per_atom": -7.885, "raw_formation_energy_mev_per_atom": -2474, "lattice": [[5.125, -0.037, -0.003], [-0.007, 5.124, -0.006], [0.004, 0.008, 6.868]], "species": ["O", "O", "O", "O", "O", "O", "O", "O", "Sm", "Sm", "Dy", "Os"], "fractional_positions": [[0.179, 0.821, 0.209], [0.305, 0.304, 0.500], [0.821, 0.179, 0.209], [0.179, 0.821, 0.791], [0.695, 0.696, 0.500], [0.741, 0.742, 0.000], [0.821, 0.179, 0.791], [0.259, 0.258, 0.000], [0.500, 0.500, 0.748], [0.500, 0.500, 0.252], [0.000, 0.000, 0.500], [0.000, 0.000, 0.000]]}

Q: Which formula does entry 2 have?
A: BiPPb2